Record 1
VASP calculation (PBE) on Sc2FeRe after structural relaxation. Values from VASP.

```
&SYSTEM
  ibrav = 0, nat = 4, ntyp = 3
/
ATOMIC_SPECIES
Fe 55.84 Fe.upf
Re 186.21 Re.upf
Sc 44.96 Sc.upf
CELL_PARAMETERS angstrom
2.9195 0.0171 0.0000
-0.0172 2.9195 0.0000
0.0000 0.0000 8.2520
ATOMIC_POSITIONS angstrom
Fe 0.0000 0.0000 4.4045
Re 1.4511 1.4683 5.8184
Sc 0.0000 0.0000 7.8475
Sc 1.4511 1.4683 2.5596
```

Calculated values
* space group: P4mm
* calculated formation energy: -2.7 kJ per mole of atoms
* calculated total energy: -8.42 eV/atom
* energy above the most stable polymorph in this dataset: 4 meV per atom
* total moment: 0.00 μB/cell
* DOS at the Fermi energy: 2.7 states/eV/cell

=====

Record 2
VASP calculation (PBE) on Sc2FeRe3 after structural relaxation. Values from VASP.

```
&SYSTEM
  ibrav = 0, nat = 6, ntyp = 3
/
ATOMIC_SPECIES
Sc 44.96 Sc.upf
Fe 55.84 Fe.upf
Re 186.21 Re.upf
CELL_PARAMETERS angstrom
0.4828 -5.1495 -0.4875
2.1694 2.4351 4.0437
-4.6473 2.0653 1.2392
ATOMIC_POSITIONS angstrom
Sc 0.5909 -2.6913 1.3082
Sc -2.5860 2.0421 3.4873
Fe 0.0000 0.0000 0.0000
Re -0.9975 -0.3246 2.3977
Re -2.3237 1.0326 0.6196
Re -2.0823 -1.5421 0.3759
```

Calculated values
* space group: C2/m
* calculated formation energy: -27.9 kJ per mole of atoms
* calculated total energy: -10.03 eV/atom
* total moment: 2.07 μB/cell
* DOS at the Fermi energy: 4.4 states/eV/cell